# 1
Material: HfPaPt2
Method: DFT, PBE
State: relaxed

Summary:
Energy relative to the lowest polymorph listed for this composition = 0.000 eV per atom
Formation energy from the elements = -1.018 eV per atom
Symmetry = P2_1/m (11)

Lattice parameters (Å, degrees): 4.2912 5.5952 7.3244 108.96 90.00 90.00
Atoms (fractional coordinates):
Hf 0.7500 0.7877 0.3287
Hf 0.2500 0.2123 0.6713
Pa 0.2500 0.2165 0.1806
Pa 0.7500 0.7835 0.8194
Pt 0.2500 0.6826 0.0664
Pt 0.7500 0.3174 0.9336
Pt 0.7500 0.3114 0.4657
Pt 0.2500 0.6886 0.5343

=====

# 2
Material: Cs4La3DySe8
Method: DFT, PBE
State: relaxed

Summary:
Symmetry = R-3m (166)

Lattice parameters (Å, degrees): 8.8844 9.8272 8.8837 116.88 120.00 90.00
Atoms (fractional coordinates):
Cs 0.5000 0.0000 0.0000
Cs 0.5000 0.0000 0.5000
Cs 0.0000 0.0000 0.0000
Cs 0.0000 0.0000 0.5000
La 0.5000 0.5000 0.0000
La 0.5000 0.5000 0.5000
La 0.0000 0.5000 0.5000
Dy 0.0000 0.5000 0.0000
Se 0.2244 0.6883 0.9643
Se 0.2241 0.6882 0.4481
Se 0.2691 0.3079 0.5383
Se 0.7399 0.6883 0.9643
Se 0.2601 0.3117 0.0357
Se 0.7309 0.6921 0.4617
Se 0.7759 0.3118 0.5519
Se 0.7756 0.3117 0.0357

=====

E: -8.9012, -4.9538 (eV per atom)